! PBE Pm3TeCN, optimized geometry; values from VASP
&SYSTEM
  ibrav = 0, nat = 12, ntyp = 4
/
ATOMIC_SPECIES
Pm 145.00 Pm.upf
Te 127.60 Te.upf
C 12.01 C.upf
N 14.01 N.upf
ATOMIC_POSITIONS angstrom
Pm 3.0005 6.5147 1.0362
Pm 1.0002 -1.6383 8.0931
Pm 1.0002 4.8315 3.7585
Pm 3.0005 0.0448 5.3707
Pm 3.0005 3.2214 0.9721
Pm 1.0002 1.6550 8.1572
Te 1.0002 1.4274 2.7823
Te 3.0005 3.4490 6.3470
C 1.0002 4.9279 0.5981
C 3.0005 -0.0515 8.5311
N 1.0002 -0.9270 6.0057
N 3.0005 5.8034 3.1236
CELL_PARAMETERS angstrom
4.0006 0.0000 0.0000
0.0000 7.5666 -0.7286
0.0000 -2.6903 9.8578
! uncorrected formation energy	-966	meV per atom
! volume	145.3	Å³/f.u.
! symmetry	P2_1/m